Record 1
TlGeW3 after structural relaxation, computed with GGA-PBE.

Calculated values
**E above lowest polymorph**: 1501 meV/atom
**V**: 123.44 Å³ per cell
**Calculated density**: 11.1 Mg/m³

CIF file:
```
data_TlGeW3
_chemical_formula_sum 'Tl1 Ge1 W3'
_space_group_name_H-M_alt 'P m -3 m'
_space_group_IT_number 221
_space_group_name_Hall '-P 4 2 3'
_cell_length_a 4.979
_cell_length_b 4.979
_cell_length_c 4.979
_cell_angle_alpha 90.00
_cell_angle_beta 90.00
_cell_angle_gamma 90.00
loop_
_atom_site_label
_atom_site_type_symbol
_atom_site_fract_x
_atom_site_fract_y
_atom_site_fract_z
_atom_site_occupancy
Tl1 Tl 0.000 0.000 0.000 1
Ge1 Ge 0.500 0.500 0.500 1
W1 W 0.000 0.000 0.500 1
```

Record 2
TlGe3W after structural relaxation, computed with GGA-PBE.

Calculated values
**E above lowest polymorph**: 0 meV/atom
**V**: 122.78 Å³ per cell
**Calculated density**: 8.2 Mg/m³

CIF file:
```
data_TlGe3W
_chemical_formula_sum 'Tl1 Ge3 W1'
_space_group_name_H-M_alt 'P m -3 m'
_space_group_IT_number 221
_space_group_name_Hall '-P 4 2 3'
_cell_length_a 4.970
_cell_length_b 4.970
_cell_length_c 4.970
_cell_angle_alpha 90.00
_cell_angle_beta 90.00
_cell_angle_gamma 90.00
loop_
_atom_site_label
_atom_site_type_symbol
_atom_site_fract_x
_atom_site_fract_y
_atom_site_fract_z
_atom_site_occupancy
Tl1 Tl 0.000 0.000 0.000 1
Ge1 Ge 0.000 0.500 0.500 1
W1 W 0.500 0.500 0.500 1
```

Record 3
TlGeW2 after structural relaxation, computed with GGA-PBE.

Calculated values
**E above lowest polymorph**: 0 meV/atom
**V**: 276.11 Å³ per cell
**Calculated density**: 15.5 Mg/m³

CIF file:
```
data_TlGeW2
_chemical_formula_sum 'Tl4 Ge4 W8'
_space_group_name_H-M_alt 'F m -3 m'
_space_group_IT_number 225
_space_group_name_Hall '-F 4 2 3'
_cell_length_a 6.512
_cell_length_b 6.512
_cell_length_c 6.512
_cell_angle_alpha 90.00
_cell_angle_beta 90.00
_cell_angle_gamma 90.00
loop_
_atom_site_label
_atom_site_type_symbol
_atom_site_fract_x
_atom_site_fract_y
_atom_site_fract_z
_atom_site_occupancy
Tl1 Tl 0.000 0.000 0.000 1
Ge1 Ge 0.000 0.000 0.500 1
W1 W 0.250 0.250 0.250 1
```

Record 4
TlGeW2 after structural relaxation, computed with GGA-PBE.

Calculated values
**E above lowest polymorph**: 6 meV/atom
**V**: 314.65 Å³ per cell
**Calculated density**: 13.6 Mg/m³

CIF file:
```
data_TlGeW2
_chemical_formula_sum 'Tl4 Ge4 W8'
_space_group_name_H-M_alt 'I -4 2 d'
_space_group_IT_number 122
_space_group_name_Hall 'I -4 2bw'
_cell_length_a 4.005
_cell_length_b 4.005
_cell_length_c 19.618
_cell_angle_alpha 90.00
_cell_angle_beta 90.00
_cell_angle_gamma 90.00
loop_
_atom_site_label
_atom_site_type_symbol
_atom_site_fract_x
_atom_site_fract_y
_atom_site_fract_z
_atom_site_occupancy
Tl1 Tl 0.000 0.000 0.000 1
Ge1 Ge 0.000 0.000 0.500 1
W1 W 0.197 0.250 0.625 1
```

Record 5
TlGeW3 after structural relaxation, computed with GGA-PBE.

Calculated values
**E above lowest polymorph**: 0 meV/atom
**V**: 101.35 Å³ per cell
**Calculated density**: 13.6 Mg/m³

CIF file:
```
data_TlGeW3
_chemical_formula_sum 'Tl1 Ge1 W3'
_space_group_name_H-M_alt 'P m -3 m'
_space_group_IT_number 221
_space_group_name_Hall '-P 4 2 3'
_cell_length_a 4.662
_cell_length_b 4.662
_cell_length_c 4.662
_cell_angle_alpha 90.00
_cell_angle_beta 90.00
_cell_angle_gamma 90.00
loop_
_atom_site_label
_atom_site_type_symbol
_atom_site_fract_x
_atom_site_fract_y
_atom_site_fract_z
_atom_site_occupancy
Tl1 Tl 0.000 0.000 0.000 1
Ge1 Ge 0.500 0.500 0.500 1
W1 W 0.000 0.500 0.500 1
```

Record 6
Y3TlGe after structural relaxation, computed with GGA-PBE.

Calculated values
**E above lowest polymorph**: 0 meV/atom
**V**: 159.17 Å³ per cell
**Calculated density**: 5.7 Mg/m³

CIF file:
```
data_Y3TlGe
_chemical_formula_sum 'Y3 Tl1 Ge1'
_space_group_name_H-M_alt 'P m -3 m'
_space_group_IT_number 221
_space_group_name_Hall '-P 4 2 3'
_cell_length_a 5.419
_cell_length_b 5.419
_cell_length_c 5.419
_cell_angle_alpha 90.00
_cell_angle_beta 90.00
_cell_angle_gamma 90.00
loop_
_atom_site_label
_atom_site_type_symbol
_atom_site_fract_x
_atom_site_fract_y
_atom_site_fract_z
_atom_site_occupancy
Y1 Y 0.000 0.000 0.500 1
Tl1 Tl 0.500 0.500 0.500 1
Ge1 Ge 0.000 0.000 0.000 1
```

Record 7
YTl2Ge after structural relaxation, computed with GGA-PBE.

Calculated values
**E above lowest polymorph**: 320 meV/atom
**V**: 350.33 Å³ per cell
**Calculated density**: 8.1 Mg/m³

CIF file:
```
data_YTl2Ge
_chemical_formula_sum 'Y3 Tl6 Ge3'
_space_group_name_H-M_alt 'R -3 m'
_space_group_IT_number 166
_space_group_name_Hall '-R 3 2"'
_cell_length_a 3.5066
_cell_length_b 3.5066
_cell_length_c 32.8992
_cell_angle_alpha 90.00
_cell_angle_beta 90.00
_cell_angle_gamma 120.00
loop_
_atom_site_label
_atom_site_type_symbol
_atom_site_fract_x
_atom_site_fract_y
_atom_site_fract_z
_atom_site_occupancy
Y1 Y 0.0000 0.0000 0.0000 1
Tl1 Tl 0.0000 0.0000 0.0949 1
Ge1 Ge 0.0000 0.0000 0.5000 1
```

Record 8
YTl2Ge2 after structural relaxation, computed with GGA-PBE.

Calculated values
**E above lowest polymorph**: 170 meV/atom
**V**: 259.27 Å³ per cell
**Calculated density**: 8.2 Mg/m³

CIF file:
```
data_YTl2Ge2
_chemical_formula_sum 'Y2 Tl4 Ge4'
_space_group_name_H-M_alt 'I 4/m m m'
_space_group_IT_number 139
_space_group_name_Hall '-I 4 2'
_cell_length_a 3.866
_cell_length_b 3.866
_cell_length_c 17.351
_cell_angle_alpha 90.00
_cell_angle_beta 90.00
_cell_angle_gamma 90.00
loop_
_atom_site_label
_atom_site_type_symbol
_atom_site_fract_x
_atom_site_fract_y
_atom_site_fract_z
_atom_site_occupancy
Y1 Y 0.000 0.000 0.000 1
Tl1 Tl 0.000 0.000 0.394 1
Ge1 Ge 0.000 0.500 0.250 1
```